(1)
VAgS2 | PBE | relaxed

## Properties
The raw formation energy is -543.8 meV/atom. The value obtained for the magnetization is 0.000 μB/f.u. The value obtained for the density of states at the Fermi level is 1.75 states/eV/cell. The volume comes out at 17.0 Å³/atom.

Structure (CIF):
```
data_VAgS2
_symmetry_space_group_name_H-M 'P 3 m 1'
_symmetry_Int_Tables_number 156
_cell_length_a 3.1904
_cell_length_b 3.1904
_cell_length_c 7.7093
_cell_angle_alpha 90.00
_cell_angle_beta 90.00
_cell_angle_gamma 120.00
loop_
_symmetry_equiv_pos_as_xyz
'x,y,z'
'-y,x-y,z'
'-x+y,-x,z'
'-y,-x,z'
'-x+y,y,z'
'x,x-y,z'
loop_
_atom_site_label
_atom_site_fract_x
_atom_site_fract_y
_atom_site_fract_z
V1 0.0000 0.0000 0.0000
Ag1 0.3333 0.6667 0.4880
S1 0.3333 0.6667 0.8121
S2 0.6667 0.3333 0.1951
```

(2)
SmY4Al4 | PBE | relaxed

## Properties
The value obtained for the magnetization is 0.000 μB/f.u. The value obtained for the density of states at the Fermi level is 16.03 states/eV/cell. The calculated formation energy comes out at -164 meV per atom. The volume comes out at 25.4 Å³/atom.

Structure (CIF):
```
data_SmY4Al4
_symmetry_space_group_name_H-M 'P 42/n'
_symmetry_Int_Tables_number 86
_cell_length_a 8.8633
_cell_length_b 8.8633
_cell_length_c 5.8228
_cell_angle_alpha 90.00
_cell_angle_beta 90.00
_cell_angle_gamma 90.00
loop_
_symmetry_equiv_pos_as_xyz
'x,y,z'
'-x,-y,-z'
'-y,x+1/2,z+1/2'
'y,-x+1/2,-z+1/2'
'-x+1/2,-y+1/2,z'
'x+1/2,y+1/2,-z'
'y+1/2,-x,z+1/2'
'-y+1/2,x,-z+1/2'
loop_
_atom_site_label
_atom_site_fract_x
_atom_site_fract_y
_atom_site_fract_z
Sm1 0.2500 0.2500 0.2500
Y1 0.0840 0.8242 0.6390
Al1 0.0540 0.1553 0.8424
```